RbTmHgS3 after structural relaxation, computed with GGA-PBE.

Summary:
The calculation puts the raw total energy at -0.154 hartree per atom.

POSCAR file:
```
RbTmHgS3
1.0
8.7672 -2.0165 0.0000
8.7672 2.0165 0.0000
-1.9086 0.0000 8.8466
Rb Tm Hg S
2 2 2 6
Cartesian
2.4514 0.0000 0.5948
13.1744 0.0000 8.2518
1.8793 0.0000 5.0633
13.7465 0.0000 3.7833
8.0025 0.0000 2.4247
7.6233 0.0000 6.4219
-0.9543 0.0000 4.4233
4.5326 0.0000 5.5428
5.4210 0.0000 2.0366
8.7672 0.0000 0.0000
10.2049 0.0000 6.8100
11.0932 0.0000 3.3038
```

Dy2Sc2CI3Cl2 after structural relaxation, computed with GGA-PBE.

Summary:
The energy above the most stable polymorph in this dataset comes out at 22 meV/atom.

POSCAR file:
```
Dy2Sc2CI3Cl2
1.0
8.9963 -1.9033 0.0000
8.9963 1.9033 0.0000
-1.4628 0.0000 7.9457
Dy Sc C I Cl
2 2 1 3 2
Cartesian
2.3004 0.0000 0.5421
14.2294 0.0000 7.4036
8.7019 0.0000 1.4502
7.8279 0.0000 6.4955
0.0000 0.0000 0.0000
-0.7314 0.0000 3.9728
5.6199 0.0000 1.5897
10.9099 0.0000 6.3560
5.3840 0.0000 5.4890
11.1458 0.0000 2.4567
```

NdScTe3 after structural relaxation, computed with GGA-PBE.

Summary:
The calculation puts the raw total energy at -0.200 hartree per atom.

POSCAR file:
```
NdScTe3
1.0
2.1143 -6.8534 0.0000
2.1143 6.8534 0.0000
0.0000 0.0000 10.5130
Nd Sc Te
2 2 6
Cartesian
2.1143 3.4358 7.8848
2.1143 -3.4358 2.6283
2.1143 0.0000 0.0000
2.1143 0.0000 5.2565
2.1143 4.8808 0.5907
2.1143 4.8808 4.6658
2.1143 1.0705 2.6283
2.1143 -1.0705 7.8848
2.1143 -4.8808 5.8472
2.1143 -4.8808 9.9223
```

Sc2AgHg after structural relaxation, computed with GGA-PBE.

Summary:
The formation energy from the elements comes out at -364 meV per atom.

POSCAR file:
```
Sc2AgHg
1.0
4.8600 0.0000 0.0000
0.0000 4.8600 0.0000
0.0000 0.0000 3.5300
Sc Ag Hg
2 1 1
Cartesian
0.0000 2.4300 0.0000
2.4300 0.0000 0.0000
0.0000 0.0000 1.7650
2.4300 2.4300 1.7650
```

YZrNO after structural relaxation, computed with GGA-PBE.

Summary:
The energy above the most stable polymorph in this dataset comes out at 129 meV/atom.

POSCAR file:
```
YZrNO
1.0
7.9847 0.0000 0.0000
0.0000 6.4396 0.0000
0.0000 0.0000 4.7697
Y Zr N O
4 4 4 4
Cartesian
1.0753 0.5131 1.1924
1.0753 2.7067 3.5772
6.9094 3.7329 1.1924
6.9094 5.9265 3.5772
3.1135 3.5951 1.1924
3.1135 6.0643 3.5772
4.8711 0.3753 1.1924
4.8711 2.8445 3.5772
1.0717 0.3573 3.5772
1.0717 2.8625 1.1924
6.9130 3.5771 3.5772
6.9130 6.0823 1.1924
2.9296 3.9204 3.5772
2.9296 5.7391 1.1924
5.0551 0.7006 3.5772
5.0551 2.5193 1.1924
```

ScTc3C after structural relaxation, computed with GGA-PBE.

Summary:
The calculation puts the raw total energy at -0.346 hartree per atom.

POSCAR file:
```
ScTc3C
1.0
4.1423 0.0000 0.0000
0.0000 4.1423 0.0000
0.0000 0.0000 4.1423
Sc Tc C
1 3 1
Cartesian
0.0000 0.0000 0.0000
0.0000 2.0711 2.0711
2.0711 0.0000 2.0711
2.0711 2.0711 0.0000
2.0711 2.0711 2.0711
```

BaErNO after structural relaxation, computed with GGA-PBE.

Summary:
The energy above the most stable polymorph in this dataset comes out at 258 meV/atom.

POSCAR file:
```
BaErNO
1.0
4.7329 0.0000 0.0000
0.0000 4.7329 0.0000
0.0000 0.0000 7.3381
Ba Er N O
2 2 2 2
Cartesian
1.1832 3.5497 0.0000
3.5497 1.1832 0.0000
1.1832 1.1832 3.2288
3.5497 3.5497 4.1093
1.1832 1.1832 1.1761
3.5497 3.5497 6.1619
1.1832 3.5497 3.6690
3.5497 1.1832 3.6690
```

Sr2Pt2W3 after structural relaxation, computed with GGA-PBE.

Summary:
The calculation puts the raw total energy at -0.276 hartree per atom.

POSCAR file:
```
Sr2Pt2W3
1.0
2.2054 1.2733 9.3760
-2.2054 1.2733 9.3760
0.0000 -2.5466 9.3760
Sr Pt W
2 2 3
Cartesian
0.0000 0.0000 0.0000
0.0000 0.0000 11.7117
0.0000 0.0000 3.9737
0.0000 0.0000 17.5934
0.0000 0.0000 6.6618
0.0000 0.0000 15.0637
0.0000 0.0000 23.6163
```

BaFeSn after structural relaxation, computed with GGA-PBE.

Summary:
The calculation puts the raw total energy at -0.163 hartree per atom.

POSCAR file:
```
BaFeSn
1.0
7.1296 0.0000 0.0000
0.0000 7.1296 0.0000
0.0000 0.0000 7.1296
Ba Fe Sn
4 4 4
Cartesian
0.0000 0.0000 0.0000
0.0000 3.5648 3.5648
3.5648 0.0000 3.5648
3.5648 3.5648 0.0000
1.7824 1.7824 1.7824
1.7824 5.3472 5.3472
5.3472 1.7824 5.3472
5.3472 5.3472 1.7824
0.0000 0.0000 3.5648
0.0000 3.5648 0.0000
3.5648 0.0000 0.0000
3.5648 3.5648 3.5648
```

LuPuNb after structural relaxation, computed with GGA-PBE.

Summary:
The energy above the most stable polymorph in this dataset comes out at 0 meV/atom. The formation energy from the elements comes out at 749 meV per atom.

POSCAR file:
```
LuPuNb
1.0
6.6921 0.0000 0.0000
0.0000 6.6921 0.0000
0.0000 0.0000 6.6921
Lu Pu Nb
4 4 4
Cartesian
0.0000 0.0000 0.0000
0.0000 3.3461 3.3461
3.3461 0.0000 3.3461
3.3461 3.3461 0.0000
0.0000 0.0000 3.3461
0.0000 3.3461 0.0000
3.3461 0.0000 0.0000
3.3461 3.3461 3.3461
1.6730 1.6730 1.6730
1.6730 5.0191 5.0191
5.0191 1.6730 5.0191
5.0191 5.0191 1.6730
```

HoEr2Fe2B2N3 after structural relaxation, computed with GGA-PBE.

Summary:
The calculation puts the raw total energy at -0.296 hartree per atom.

POSCAR file:
```
HoEr2Fe2B2N3
1.0
-1.7085 1.7085 10.1445
1.7085 -1.7085 10.1445
1.7085 1.7085 -10.1445
Ho Er Fe B N
1 2 2 2 3
Cartesian
0.0000 0.0000 0.0000
0.0000 0.0000 7.6783
0.0000 0.0000 12.6108
1.7085 0.0000 5.0723
0.0000 1.7085 5.0723
0.0000 0.0000 3.8015
0.0000 0.0000 16.4876
0.0000 0.0000 2.3157
0.0000 0.0000 10.1445
0.0000 0.0000 17.9733
```

Sm2Ag2O5 after structural relaxation, computed with GGA-PBE.

Summary:
The energy above the most stable polymorph in this dataset comes out at 13 meV/atom.

POSCAR file:
```
Sm2Ag2O5
1.0
4.1249 0.0000 0.0000
0.0000 4.1249 0.0000
0.0000 0.0000 7.0556
Sm Ag O
2 2 5
Cartesian
0.0000 0.0000 0.0000
0.0000 0.0000 3.5278
2.0625 2.0625 1.3644
2.0625 2.0625 5.6912
0.0000 2.0625 1.5323
0.0000 2.0625 5.5234
2.0625 0.0000 1.5323
2.0625 0.0000 5.5234
2.0625 2.0625 3.5278
```

Gd3Mg3Zn2In after structural relaxation, computed with GGA-PBE.

Summary:
The calculation puts the raw total energy at -0.108 hartree per atom.

POSCAR file:
```
Gd3Mg3Zn2In
1.0
7.3273 0.0000 0.0000
-3.6637 6.3457 0.0000
0.0000 0.0000 4.6506
Gd Mg Zn In
3 3 2 1
Cartesian
-2.0735 3.5913 0.0000
1.5902 2.7543 0.0000
4.1469 0.0000 0.0000
-0.9098 1.5758 2.3253
1.8196 0.0000 2.3253
2.7539 4.7699 2.3253
0.0000 4.2304 2.3253
3.6637 2.1152 2.3253
0.0000 0.0000 0.0000
```

NaMgTaSe3 after structural relaxation, computed with GGA-PBE.

Summary:
The calculation puts the raw total energy at -0.182 hartree per atom.

POSCAR file:
```
NaMgTaSe3
1.0
1.8908 -6.9942 0.0000
1.8908 6.9942 0.0000
0.0000 0.0000 10.2083
Na Mg Ta Se
2 2 2 6
Cartesian
1.8908 3.5244 7.6562
1.8908 -3.5244 2.5521
1.8908 0.4848 2.5521
1.8908 -0.4848 7.6562
0.0000 0.0000 0.0000
0.0000 0.0000 5.1042
1.8908 5.8291 2.5521
1.8908 1.8664 0.4536
1.8908 1.8664 4.6506
1.8908 -1.8664 5.5577
1.8908 -1.8664 9.7547
1.8908 -5.8291 7.6562
```

LiReSiTe after structural relaxation, computed with GGA-PBE.

Summary:
The energy above the most stable polymorph in this dataset comes out at 463 meV/atom.

POSCAR file:
```
LiReSiTe
1.0
6.3684 0.0000 0.0000
0.0000 6.3684 0.0000
0.0000 0.0000 6.3684
Li Re Si Te
4 4 4 4
Cartesian
0.0000 0.0000 0.0000
0.0000 3.1842 3.1842
3.1842 0.0000 3.1842
3.1842 3.1842 0.0000
1.5921 1.5921 4.7763
1.5921 4.7763 1.5921
4.7763 1.5921 1.5921
4.7763 4.7763 4.7763
0.0000 0.0000 3.1842
0.0000 3.1842 0.0000
3.1842 0.0000 0.0000
3.1842 3.1842 3.1842
1.5921 1.5921 1.5921
1.5921 4.7763 4.7763
4.7763 1.5921 4.7763
4.7763 4.7763 1.5921
```

NaZr after structural relaxation, computed with GGA-PBE.

Summary:
The energy above the most stable polymorph in this dataset comes out at 278 meV/atom.

POSCAR file:
```
NaZr
1.0
6.7277 0.0000 0.0000
-3.3638 5.8264 0.0000
0.0000 0.0000 5.1726
Na Zr
4 4
Cartesian
0.0000 0.0000 0.0000
1.6530 0.9543 2.5863
5.0747 0.9543 2.5863
3.3638 3.9177 2.5863
-1.4537 3.0449 0.0000
0.0000 3.8842 2.5863
1.4537 3.0449 0.0000
0.0000 5.5628 0.0000
```

BaTbN3 after structural relaxation, computed with GGA-PBE.

Summary:
The calculation puts the raw total energy at -0.249 hartree per atom.

POSCAR file:
```
BaTbN3
1.0
6.8873 0.0000 0.0000
0.0000 3.6042 0.0000
-3.0366 0.0000 6.4473
Ba Tb N
2 2 6
Cartesian
0.2571 0.9011 2.5736
3.5936 2.7032 3.8737
-1.0133 0.9011 6.0119
4.8640 2.7032 0.4354
0.2659 2.7032 0.2858
-0.7119 2.7032 4.3683
0.4609 2.7032 5.0588
3.3898 0.9011 1.3885
4.5626 0.9011 2.0790
3.5848 0.9011 6.1615
```

TlCuGeTe3 after structural relaxation, computed with GGA-PBE.

Summary:
The energy above the most stable polymorph in this dataset comes out at 28 meV/atom.

POSCAR file:
```
TlCuGeTe3
1.0
1.9062 -7.7330 0.0000
1.9062 7.7330 0.0000
0.0000 0.0000 11.4928
Tl Cu Ge Te
2 2 2 6
Cartesian
1.9062 3.9015 8.6196
1.9062 -3.9015 2.8732
1.9062 0.9451 2.8732
1.9062 -0.9451 8.6196
0.0000 0.0000 0.0000
0.0000 0.0000 5.7464
1.9062 6.8913 2.8732
1.9062 2.0734 0.5282
1.9062 2.0734 5.2182
1.9062 -2.0734 6.2746
1.9062 -2.0734 10.9646
1.9062 -6.8913 8.6196
```

NdTaSn after structural relaxation, computed with GGA-PBE.

Summary:
The calculation puts the raw total energy at -0.213 hartree per atom.

POSCAR file:
```
NdTaSn
1.0
7.1959 0.0000 0.0000
0.0000 7.1959 0.0000
0.0000 0.0000 7.1959
Nd Ta Sn
4 4 4
Cartesian
0.0000 0.0000 0.0000
0.0000 3.5979 3.5979
3.5979 0.0000 3.5979
3.5979 3.5979 0.0000
1.7990 1.7990 1.7990
1.7990 5.3969 5.3969
5.3969 1.7990 5.3969
5.3969 5.3969 1.7990
1.7990 1.7990 5.3969
1.7990 5.3969 1.7990
5.3969 1.7990 1.7990
5.3969 5.3969 5.3969
```

PrTePO after structural relaxation, computed with GGA-PBE.

Summary:
The energy above the most stable polymorph in this dataset comes out at 69 meV/atom.

POSCAR file:
```
PrTePO
1.0
4.1504 0.0000 0.0000
0.0000 4.1504 0.0000
0.0000 0.0000 10.2764
Pr Te P O
2 2 2 2
Cartesian
1.0376 1.0376 1.1575
3.1128 3.1128 9.1189
1.0376 3.1128 5.1382
3.1128 1.0376 5.1382
1.0376 1.0376 7.4594
3.1128 3.1128 2.8170
1.0376 3.1128 0.0000
3.1128 1.0376 0.0000
```